1.
Crystalline MnCdTe2 at its relaxed geometry, computed with PBE.

Summary:
Total moment ... 4.858 μB/f.u.
Uncorrected energy ... -31.81 eV/cell
Crystal system ... tetragonal
Energy relative to the elements, uncorrected ... 116 meV per atom
Mass density ... 5.46 g/cm3

Unit cell a=4.0262 b=4.0262 c=15.8584 alpha=90.00 beta=90.00 gamma=90.00
Last column: nearest neighbours and their distance in Å.
Space group I-4m2 (No. 119)
One atom of each set of equivalent atoms:
1 Mn 0.0000 0.0000 0.0000 [2 per cell]  4 Te 2.85
2 Cd 0.0000 0.5000 0.2500 [2 per cell]  4 Te 2.85
3 Te 0.0000 0.0000 0.5000 [2 per cell]  4 Mn 2.85
4 Te 0.0000 0.5000 0.7500 [2 per cell]  4 Cd 2.85

2.
Crystalline Th2Pd6Pb at its relaxed geometry, computed with PBE.

Summary:
Total moment ... 0.000 μB/f.u.
Uncorrected energy ... -109.43 eV/cell
Crystal system ... orthorhombic
Mass density ... 11.23 g/cm3
Formation energy from the elements ... -556 meV per atom

Unit cell a=7.5557 b=14.0682 c=3.6453 alpha=90.00 beta=90.00 gamma=90.00
Last column: nearest neighbours and their distance in Å.
Space group Cmmm (No. 65)
One atom of each set of equivalent atoms:
1 Th 0.0000 0.1865 0.0000 [4 per cell]  10 Pd 2.94-3.21
2 Pd 0.1923 0.0000 0.0000 [4 per cell]  5 Pd 2.91-3.00, 2 Pb 2.95, 2 Th 3.00
3 Pd 0.1995 0.3408 0.5000 [8 per cell]  1 Pd 2.67, 1 Pb 2.70, 2 Th 2.94
4 Pb 0.0000 0.5000 0.5000 [2 per cell]  8 Pd 2.70-2.95